VO2: optimized geometry, PBE+U.

Crystal system ... tetragonal
Total magnetic moment ... 8.0 μB/cell
Calculated total energy ... -7.707 eV per atom
DOS at the Fermi energy ... 1.18 states/eV/cell

a b c (Å): 8.5706 8.5706 3.8529
angles (deg): 90.00 90.00 90.00
Last column: nearest neighbours and their distance in Å.
Space group I4/mmm (No. 139)
Symmetry-distinct sites (fractional):
V 0.0000 0.2963 0.0000 (multiplicity 8)  4 O 1.80-1.98
O 0.0000 0.3507 0.5000 (multiplicity 8)  4 V 1.98-2.16
O 0.1567 0.1567 0.0000 (multiplicity 8)  2 V 1.80